PBE-GGA TaPt5Rh4, optimized geometry; D(E_F) = 13.818 states/eV per cell; energy of formation from the pure elements = -0.75 kcal/mol of atoms; space group = C2/m; crystal system = monoclinic
1.0
-2.0049 1.7483 -2.9178
3.1491 -4.0566 -4.5945
-4.9104 -2.9416 4.2830
Ta Pt Rh
1 5 4
direct
0.5000 0.0000 0.0000
0.8332 0.2876 0.6663
0.8287 0.8863 0.6575
0.1713 0.1137 0.3425
0.5000 0.5000 0.0000
0.1668 0.7124 0.3337
0.3252 0.5821 0.6505
0.9765 0.7339 0.9531
0.6748 0.4179 0.3495
0.0235 0.2661 0.0469

=====

PBE-GGA Sr2ReRu, optimized geometry; D(E_F) = 3.878 states/eV per cell; energy of formation from the pure elements = 28.93 kcal/mol of atoms; energy relative to the lowest polymorph listed for this composition = 773 meV/atom; space group = R-3m; crystal system = trigonal
1.0
-6.6001 -6.3240 -4.6925
-7.6883 -6.5906 -1.7403
-8.6638 -4.2120 -3.5738
Re Ru Sr
1 1 2
direct
0.2500 0.2500 0.2500
0.7500 0.7500 0.7500
0.0048 0.0048 0.0048
0.4952 0.4952 0.4952

=====

PBE-GGA BaNbAsO6, optimized geometry; D(E_F) = 0.000 states/eV per cell; uncorrected formation energy = -2.209 eV/atom; space group = P312; crystal system = trigonal
1.0
5.2555 0.0000 0.0000
2.6278 4.5514 0.0001
0.0001 -0.0002 5.7704
Ba Nb As O
1 1 1 6
direct
0.0000 0.0000 0.0000
0.3333 0.3333 0.4999
0.6666 0.6667 0.5000
0.9797 0.4028 0.3118
0.4028 0.9798 0.6882
0.6173 0.4029 0.6882
0.9797 0.6174 0.6882
0.4028 0.6174 0.3118
0.6174 0.9798 0.3118

=====

PBE-GGA Pm3Ge2H2, optimized geometry; D(E_F) = 4.234 states/eV per cell; calculated total energy = -34.5 eV/cell; space group = C2/m; crystal system = monoclinic
1.0
-1.0705 0.1340 4.3797
-4.2474 -1.1325 -1.0123
4.2386 -5.9329 -1.1086
Pm Ge H
3 2 2
direct
0.0000 0.0000 0.0000
0.2500 0.7500 0.5000
0.7500 0.2500 0.5000
0.4092 0.4085 0.8186
0.5908 0.5915 0.1814
0.1854 0.1855 0.3710
0.8146 0.8145 0.6290

=====

PBE-GGA La2CrCd, optimized geometry; D(E_F) = 3.921 states/eV per cell; energy of formation from the pure elements = 1.69 kcal/mol of atoms; space group = P4/mmm; crystal system = tetragonal
1.0
-2.7216 -2.0641 1.7672
2.6771 -2.4650 1.2439
0.9334 4.2356 6.3848
Cd Cr La
1 1 2
direct
0.5000 0.5000 0.2500
0.5000 0.5000 0.7500
0.0000 0.0000 0.9842
0.0000 0.0000 0.5158